[1]
# RbIr2

RbIr2 after structural relaxation (PBE, the Open Quantum Materials Database).

a = 5.5748 Å, b = 5.5748 Å, c = 5.5748 Å
α = 60.00°, β = 60.00°, γ = 60.00°
Last column: nearest neighbours and their distance in Å.
Positions (direct):
Rb 0.1250 0.1250 0.1250  12 Ir 3.27, 4 Rb 3.41
Rb 0.8750 0.8750 0.8750  12 Ir 3.27, 4 Rb 3.41
Ir 0.0000 0.5000 0.5000  6 Ir 2.79
Ir 0.5000 0.0000 0.5000  6 Ir 2.79
Ir 0.5000 0.5000 0.0000  6 Ir 2.79
Ir 0.5000 0.5000 0.5000  6 Ir 2.79

space-group type = No. 227
polymorph energy (0 for the lowest one) = 0 meV/atom
raw total energy = -5.36 eV/atom

---

[2]
# BaAlHgAu

BaAlHgAu after structural relaxation (PBE, the Open Quantum Materials Database).

a = 5.2837 Å, b = 5.2837 Å, c = 5.2837 Å
α = 60.00°, β = 60.00°, γ = 60.00°
Last column: nearest neighbours and their distance in Å.
Positions (direct):
Ba 0.0000 0.0000 0.0000  4 Hg 3.24, 4 Al 3.24
Al 0.7500 0.7500 0.7500  4 Ba 3.24, 4 Au 3.24
Hg 0.2500 0.2500 0.2500  4 Ba 3.24, 4 Au 3.24
Au 0.5000 0.5000 0.5000  4 Hg 3.24, 4 Al 3.24

space-group type = No. 216
polymorph energy (0 for the lowest one) = 116 meV/atom
raw total energy = -2.44 eV/atom

---

[3]
# RbPrSnSe3

RbPrSnSe3 after structural relaxation (PBE, the Open Quantum Materials Database).

a = 16.0537 Å, b = 4.2890 Å, c = 12.4682 Å
α = 90.00°, β = 90.00°, γ = 90.00°
Last column: nearest neighbours and their distance in Å.
Positions (direct):
Rb 0.2345 0.2500 0.0925  5 Se 3.45-3.65, 1 Sn 3.84
Rb 0.2655 0.7500 0.5925  5 Se 3.45-3.65, 1 Sn 3.84
Rb 0.7345 0.2500 0.4075  5 Se 3.45-3.65, 1 Sn 3.84
Rb 0.7655 0.7500 0.9075  5 Se 3.45-3.65, 1 Sn 3.84
Pr 0.9997 0.2500 0.3510  6 Se 2.94-3.06
Pr 0.0003 0.7500 0.6490  6 Se 2.94-3.06
Pr 0.4997 0.2500 0.1490  6 Se 2.94-3.06
Pr 0.5003 0.7500 0.8510  6 Se 2.94-3.06
Sn 0.0402 0.2500 0.9124  3 Se 2.69-2.79
Sn 0.4598 0.7500 0.4124  3 Se 2.69-2.79
Sn 0.5402 0.2500 0.5876  3 Se 2.69-2.79
Sn 0.9598 0.7500 0.0876  3 Se 2.69-2.79
Se 0.0892 0.7500 0.2240  1 Sn 2.69
Se 0.1008 0.2500 0.5473  3 Pr 2.94-2.97
Se 0.1304 0.7500 0.8279  2 Sn 2.79, 1 Pr 3.06
Se 0.3696 0.2500 0.3279  2 Sn 2.79, 1 Pr 3.06
Se 0.3992 0.7500 0.0473  3 Pr 2.94-2.97
Se 0.4108 0.2500 0.7240  1 Sn 2.69
Se 0.5892 0.7500 0.2760  1 Sn 2.69
Se 0.6008 0.2500 0.9527  3 Pr 2.94-2.97
Se 0.6304 0.7500 0.6721  2 Sn 2.79, 1 Pr 3.06
Se 0.8696 0.2500 0.1721  2 Sn 2.79, 1 Pr 3.06
Se 0.8992 0.7500 0.4527  3 Pr 2.94-2.97
Se 0.9108 0.2500 0.7760  1 Sn 2.69

space-group type = No. 62
polymorph energy (0 for the lowest one) = 0 meV/atom
raw total energy = -4.65 eV/atom

---

[4]
# Zr3Zn3PdPtAu

Zr3Zn3PdPtAu after structural relaxation (PBE, the Open Quantum Materials Database).

a = 7.3268 Å, b = 7.3268 Å, c = 3.4646 Å
α = 90.00°, β = 90.00°, γ = 120.00°
Last column: nearest neighbours and their distance in Å.
Positions (direct):
Zr 0.0678 0.3373 0.0000  2 Pt 2.81, 2 Pd 2.85, 1 Au 2.92, 6 Zn 2.95-3.12
Zr 0.2695 0.9322 0.0000  2 Pt 2.81, 2 Pd 2.85, 1 Au 2.92, 6 Zn 2.95-3.12
Zr 0.6627 0.7305 0.0000  2 Pt 2.81, 2 Pd 2.85, 1 Au 2.92, 6 Zn 2.95-3.12
Zn 0.3899 0.3294 0.5000  2 Au 2.66, 1 Pd 2.66, 1 Pt 2.70, 2 Zr 2.95
Zn 0.6706 0.0605 0.5000  2 Au 2.66, 1 Pd 2.66, 1 Pt 2.70, 2 Zr 2.95
Zn 0.9395 0.6101 0.5000  2 Au 2.66, 1 Pd 2.66, 1 Pt 2.70, 2 Zr 2.95
Pd 0.0000 0.0000 0.5000  3 Zn 2.66, 6 Zr 2.85
Pt 0.3333 0.6667 0.5000  3 Zn 2.70, 6 Zr 2.81
Au 0.6667 0.3333 0.0000  6 Zn 2.66, 3 Zr 2.92

space-group type = No. 174
formation enthalpy at 0 K = -0.63 eV per atom
raw total energy = -5.51 eV/atom

---

[5]
# MgCoReBi

MgCoReBi after structural relaxation (PBE, the Open Quantum Materials Database).

a = 4.5426 Å, b = 4.5426 Å, c = 4.5426 Å
α = 60.00°, β = 60.00°, γ = 60.00°
Last column: nearest neighbours and their distance in Å.
Positions (direct):
Mg 0.0000 0.0000 0.0000  4 Co 2.78, 4 Re 2.78
Co 0.7500 0.7500 0.7500  4 Bi 2.78, 4 Mg 2.78
Re 0.2500 0.2500 0.2500  4 Bi 2.78, 4 Mg 2.78
Bi 0.5000 0.5000 0.5000  4 Co 2.78, 4 Re 2.78

space-group type = No. 216
polymorph energy (0 for the lowest one) = 0 meV/atom
raw total energy = -5.63 eV/atom

---

[6]
# Nd2Sm2BBrCl4

Nd2Sm2BBrCl4 after structural relaxation (PBE, the Open Quantum Materials Database).

a = 9.1124 Å, b = 9.1124 Å, c = 8.4707 Å
α = 104.03°, β = 104.03°, γ = 25.30°
Last column: nearest neighbours and their distance in Å.
Positions (direct):
Nd 0.0012 0.0012 0.2868  2 B 2.70, 2 Cl 2.89-2.94
Nd 0.9988 0.9988 0.7132  2 B 2.70, 2 Cl 2.89-2.94
Sm 0.3514 0.3514 0.4154  1 B 2.56, 4 Cl 2.80-2.86
Sm 0.6486 0.6486 0.5846  1 B 2.56, 4 Cl 2.80-2.86
B 0.5000 0.5000 0.5000  2 Sm 2.56, 4 Nd 2.70
Br 0.5000 0.5000 0.0000  4 Nd 3.14
Cl 0.1663 0.1663 0.8222  2 Sm 2.80, 1 Nd 2.89
Cl 0.1718 0.1718 0.3595  3 Sm 2.86-3.11, 1 Nd 2.94
Cl 0.8282 0.8282 0.6405  3 Sm 2.86-3.11, 1 Nd 2.94
Cl 0.8337 0.8337 0.1778  2 Sm 2.80, 1 Nd 2.89

space-group type = No. 12
raw total energy = -5.08 eV/atom

---

[7]
# Sc2CuH6Ir

Sc2CuH6Ir after structural relaxation (PBE, the Open Quantum Materials Database).

a = 4.9673 Å, b = 4.9673 Å, c = 4.9673 Å
α = 60.00°, β = 60.00°, γ = 60.00°
Last column: nearest neighbours and their distance in Å.
Positions (direct):
Sc 0.2500 0.2500 0.2500  12 H 2.48
Sc 0.7500 0.7500 0.7500  12 H 2.48
Cu 0.0000 0.0000 0.0000  6 H 1.77
H 0.2517 0.2517 0.7483  1 Ir 1.74, 1 Cu 1.77
H 0.2517 0.7483 0.2517  1 Ir 1.74, 1 Cu 1.77
H 0.2517 0.7483 0.7483  1 Ir 1.74, 1 Cu 1.77
H 0.7483 0.2517 0.2517  1 Ir 1.74, 1 Cu 1.77
H 0.7483 0.2517 0.7483  1 Ir 1.74, 1 Cu 1.77
H 0.7483 0.7483 0.2517  1 Ir 1.74, 1 Cu 1.77
Ir 0.5000 0.5000 0.5000  6 H 1.74

space-group type = No. 225
raw total energy = -4.83 eV/atom

---

[8]
# LiSc2Os

LiSc2Os after structural relaxation (PBE, the Open Quantum Materials Database).

a = 4.1387 Å, b = 4.1387 Å, c = 10.5206 Å
α = 90.00°, β = 90.00°, γ = 120.00°
Last column: nearest neighbours and their distance in Å.
Positions (direct):
Li 0.3333 0.6667 0.2500  3 Os 2.39
Li 0.6667 0.3333 0.7500  3 Os 2.39
Sc 0.3333 0.6667 0.6099  3 Os 2.81, 3 Li 2.81, 1 Sc 2.95
Sc 0.3333 0.6667 0.8901  3 Os 2.81, 3 Li 2.81, 1 Sc 2.95
Sc 0.6667 0.3333 0.1099  3 Os 2.81, 3 Li 2.81, 1 Sc 2.95
Sc 0.6667 0.3333 0.3901  3 Os 2.81, 3 Li 2.81, 1 Sc 2.95
Os 0.0000 0.0000 0.2500  3 Li 2.39
Os 0.0000 0.0000 0.7500  3 Li 2.39

space-group type = No. 194
polymorph energy (0 for the lowest one) = 491 meV/atom
raw total energy = -6.29 eV/atom

---

Q: Which of these has the lowest raw total energy?
A: LiSc2Os

---

Q: raw total energy of number 7 (Sc2CuH6Ir)?
A: -4.83 eV/atom

---

Q: Number 6 is which compound?
A: Nd2Sm2BBrCl4